A plane-wave DFT calculation with GGA-PBE was carried out for crystalline Ca2Ga5Ag12 at its relaxed geometry.

a b c (Å): 9.5041 9.5041 14.2044
angles (deg): 90.00 90.00 120.00
Space group R-3m (No. 166, hexagonal axes)
Asymmetric unit:
Ca1 0.0000 0.0000 0.1601 [6 per cell]
Ga1 0.0000 0.0000 0.4106 [6 per cell]
Ga2 0.0000 0.5000 0.0000 [9 per cell]
Ag1 0.0000 0.3050 0.5000 [18 per cell]
Ag2 0.0098 0.5049 0.3471 [18 per cell]

Computed properties:
Volume: 19.494 Å³/atom
Final energy: -0.1084 hartree per atom
E_form: -13.8 kJ per mole of atoms